The following is a GGA+U calculation of a relaxed structure of MgWNO2, from the Alexandria database.

Values from the calculation:
* DOS(E_F): 0.344 states/eV per cell
* DFT total energy: -0.23939 Ha/atom

a b c (Å): 3.924 3.924 4.048
angles (deg): 90.00 90.00 90.00
Sites, in units of the cell vectors:
Mg 0.000 0.000 0.000
W 0.500 0.500 0.500
N 0.500 0.500 0.000
O 0.000 0.500 0.500
O 0.500 0.000 0.500